{"formula": "CsCaV2O6", "functional": "PBE+U", "state": "optimized geometry", "sg": "No. 15", "e_tot_ev_per_atom": -6.946, "lattice_angstrom": [[5.495, -5.270, 0.000], [5.495, 5.270, 0.000], [-1.342, 0.000, 5.878]], "species": ["Cs", "Cs", "Ca", "Ca", "V", "V", "V", "V", "O", "O", "O", "O", "O", "O", "O", "O", "O", "O", "O", "O"], "frac_coords": [[0.184, 0.816, 0.750], [0.816, 0.184, 0.250], [0.397, 0.603, 0.250], [0.603, 0.397, 0.750], [0.138, 0.308, 0.809], [0.308, 0.138, 0.309], [0.692, 0.862, 0.691], [0.862, 0.692, 0.191], [0.080, 0.617, 0.245], [0.163, 0.176, 0.044], [0.176, 0.163, 0.544], [0.311, 0.459, 0.873], [0.383, 0.920, 0.255], [0.459, 0.311, 0.373], [0.541, 0.689, 0.627], [0.617, 0.080, 0.745], [0.689, 0.541, 0.127], [0.824, 0.837, 0.456], [0.837, 0.824, 0.956], [0.920, 0.383, 0.755]]}